An optimized crystal structure of KNa6Ga4, computed with PBE-GGA.

Cell: 7.753 7.753 7.889 Å, 119.43 119.43 90.00°
Element x y z (fractional)
Ga 0.206 0.206 0.126
Ga 0.794 0.081 0.874
Ga 0.081 0.794 0.874
Ga 0.919 0.919 0.126
Na 0.979 0.979 0.566
Na 0.500 0.000 0.000
Na 0.413 0.021 0.434
Na 0.000 0.500 0.000
Na 0.021 0.413 0.434
Na 0.587 0.587 0.566
K 0.500 0.500 0.000

Calculated values
magnetization: 0.000 μB per atom
crystal system: tetragonal
V: 31.00 Å³/atom
E: -1.99 eV per atom
calculated density: 2.220 g/cm³